Compound: VTeRhO6
Source: Alexandria via LeMat-Bulk
Functional: GGA+U
Structure: relaxed

The structure belongs to space group P-31c (No. 163); the cell edges are 5.2408, 5.2408 and 8.5657 Å and the angles 90.00°, 90.00° and 120.00°. The inequivalent atoms are V at (0.3333, 0.6667, 0.2500), Te at (0.3333, 0.6667, 0.7500), Rh at (0.0000, 0.0000, 0.0000) and O at (0.0319, 0.3553, 0.1268).

As for the raw total energy: -57.32 eV/f.u.